{"formula": "AcCuHgPb", "functional": "GGA-PBE", "state": "relaxed", "mass_density_g_cm3": 10.82, "total_energy_ev_per_cell": -13.11, "magmom_total_mub_per_fu": 0.00, "n_ef_per_ev_cell": 1.25, "lattice": [[5.3320, 0.0000, 0.0000], [2.6660, 4.6177, 0.0000], [2.6660, 1.5392, 4.3536]], "species": ["Pb", "Ac", "Hg", "Cu"], "fractional_positions": [[0.2500, 0.2500, 0.2500], [0.7500, 0.7500, 0.7500], [0.5000, 0.5000, 0.5000], [0.0000, 0.0000, 0.0000]]}